1.
Entry from Alexandria via LeMat-Bulk: MnIr3 at its PBEsol-relaxed geometry (meta-GGA SCAN).

## Properties
As for the space group: Pmm2, No. 25.

Cell lengths 2.6971, 4.2729, 4.6413 Å; angles 90.00, 90.00, 90.00 degrees
Site moments in Bohr magnetons follow the coordinates.
Atoms (fractional coordinates):
Ir 0.5000 0.0000 0.4960  -0.21
Ir 0.5000 0.5000 0.8362  -0.25
Ir 0.0000 0.0000 0.0050  -0.15
Mn 0.0000 0.5000 0.3296  3.15

***

2.
Entry from Alexandria via LeMat-Bulk: MnIr at its PBEsol-relaxed geometry (meta-GGA SCAN).

## Properties
As for the space group: P6_3mc, No. 186.

Cell lengths 3.8635, 3.8635, 5.3200 Å; angles 90.00, 90.00, 120.00 degrees
Atoms (fractional coordinates):
Ir 0.6667 0.3333 0.0231
Ir 0.3333 0.6667 0.5231
Mn 0.6667 0.3333 0.6059
Mn 0.3333 0.6667 0.1059

***

3.
Entry from Alexandria via LeMat-Bulk: MnIr at its PBEsol-relaxed geometry (meta-GGA SCAN).

## Properties
As for the space group: Fm-3m, No. 225.

Cell lengths 3.4658, 3.4658, 3.4658 Å; angles 60.00, 60.00, 60.00 degrees
Site moments in Bohr magnetons follow the coordinates.
Atoms (fractional coordinates):
Ir 0.0000 0.0000 0.0000  0.10
Mn 0.5000 0.5000 0.5000  3.39

***

4.
Entry from Alexandria via LeMat-Bulk: Mn3Ir at its PBEsol-relaxed geometry (meta-GGA SCAN).

## Properties
As for the space group: P6_3/mmc, No. 194.

Cell lengths 5.0808, 5.0808, 8.0870 Å; angles 90.00, 90.00, 120.00 degrees
Site moments in Bohr magnetons follow the coordinates.
Atoms (fractional coordinates):
Mn 0.5000 0.5000 0.5000  2.34
Mn 0.8256 0.1744 0.2500  -2.57
Mn 0.0000 0.5000 0.5000  2.34
Mn 0.5000 0.5000 0.0000  2.34
Mn 0.6511 0.8256 0.7500  -2.57
Mn 0.5000 0.0000 0.0000  2.34
Mn 0.3489 0.1744 0.2500  -2.57
Mn 0.1744 0.8256 0.7500  -2.57
Mn 0.8256 0.6511 0.2500  -2.57
Mn 0.0000 0.5000 0.0000  2.34
Mn 0.5000 0.0000 0.5000  2.34
Mn 0.1744 0.3489 0.7500  -2.57
Ir 0.3333 0.6667 0.2500  -0.03
Ir 0.6667 0.3333 0.7500  -0.03
Ir 0.0000 0.0000 0.0000  0.03
Ir 0.0000 0.0000 0.5000  0.03

***

5.
Entry from Alexandria via LeMat-Bulk: MnIr8 at its PBEsol-relaxed geometry (meta-GGA SCAN).

## Properties
As for the space group: I4/mmm, No. 139.

Cell lengths 3.8054, 6.0191, 6.0191 Å; angles 84.27, 71.57, 71.57 degrees
Site moments in Bohr magnetons follow the coordinates.
Atoms (fractional coordinates):
Ir 0.3312 0.6688 0.6688  -0.19
Ir 0.0000 0.3312 0.6688  -0.19
Ir 0.3361 0.0000 0.3278  -0.28
Ir 0.3361 0.3278 0.0000  -0.28
Ir 0.6688 0.3312 0.3312  -0.19
Ir 0.6639 0.0000 0.6722  -0.28
Ir 0.6639 0.6722 0.0000  -0.28
Ir 0.0000 0.6688 0.3312  -0.19
Mn 0.0000 0.0000 0.0000  3.17

***

6.
Entry from Alexandria via LeMat-Bulk: Mn3Ir at its PBEsol-relaxed geometry (meta-GGA SCAN).

## Properties
As for the space group: Pmm2, No. 25.

Cell lengths 2.5747, 4.0076, 4.3925 Å; angles 90.00, 90.00, 90.00 degrees
Site moments in Bohr magnetons follow the coordinates.
Atoms (fractional coordinates):
Mn 0.0000 0.5000 0.3483  2.80
Mn 0.5000 0.0000 0.4992  -2.28
Mn 0.5000 0.5000 0.8202  -1.71
Ir 0.0000 0.0000 0.9990  0.21

***

7.
Entry from Alexandria via LeMat-Bulk: MnIr3 at its PBEsol-relaxed geometry (meta-GGA SCAN).

## Properties
As for the space group: P-6m2, No. 187.

Cell lengths 2.6862, 2.6862, 8.4705 Å; angles 90.00, 90.00, 120.00 degrees
Site moments in Bohr magnetons follow the coordinates.
Atoms (fractional coordinates):
Ir 0.3333 0.6667 0.7329  -0.02
Ir 0.0000 0.0000 0.0000  -0.02
Ir 0.3333 0.6667 0.2671  -0.02
Mn 0.0000 0.0000 0.5000  0.11

***

8.
Entry from Alexandria via LeMat-Bulk: MnIr3 at its PBEsol-relaxed geometry (meta-GGA SCAN).

## Properties
As for the space group: P6_3/mmc, No. 194.

Cell lengths 4.2741, 5.3700, 5.3700 Å; angles 120.00, 90.00, 90.00 degrees
Site moments in Bohr magnetons follow the coordinates.
Atoms (fractional coordinates):
Ir 0.2500 0.6616 0.8308  -0.32
Ir 0.2500 0.1692 0.8308  -0.32
Ir 0.7500 0.8308 0.6616  -0.32
Ir 0.2500 0.1692 0.3384  -0.32
Ir 0.7500 0.8308 0.1692  -0.32
Ir 0.7500 0.3384 0.1692  -0.32
Mn 0.2500 0.6667 0.3333  3.01
Mn 0.7500 0.3333 0.6667  3.01

***

The evaluated DFT total energy for the records listed, in turn: -58.104; -43.755; -44.185; -31.644; -65.367; -31.651; -57.946; -58.158 eV per atom.
The evaluated DFT formation energy for the records listed, in turn: -215; 922; 492; -178; -139; -185; -58; -270 meV per atom.
The evaluated total magnetization for the records listed, in turn: 2.6; 0.0; 3.6; 0.4; 1.3; 1.0; 0.1; 2.1 μB/f.u..